No. 1
TbZn3Cu | GGA-PBE | optimized geometry

Summary:
The calculation puts the excess energy over the best structure of this formula in the dataset at 99 meV/atom. As for the formation energy: -17.0 kJ per mole of atoms. The space-group type is No. 194.

a b c (Å): 6.2514 6.2514 10.8045
angles (deg): 90.00 90.00 120.00
With the nearest neighbours (Å) after each atom.
Sites, in units of the cell vectors:
Cu: 0.6667 0.3333 0.3614  6 Zn 2.35-2.44, 1 Cu 2.41
Cu: 0.3333 0.6667 0.8614  6 Zn 2.35-2.44, 1 Cu 2.41
Cu: 0.6667 0.3333 0.1386  6 Zn 2.35-2.44, 1 Cu 2.41
Cu: 0.3333 0.6667 0.6386  6 Zn 2.35-2.44, 1 Cu 2.41
Tb: 0.3333 0.6667 0.2500  12 Zn 3.14-3.25
Tb: 0.6667 0.3333 0.7500  12 Zn 3.14-3.25
Tb: 0.0000 0.0000 0.5000  12 Zn 3.08-3.13
Tb: 0.0000 0.0000 0.0000  12 Zn 3.08-3.13
Zn: 0.8628 0.7257 0.2500  2 Cu 2.44, 2 Zn 2.57
Zn: 0.7257 0.8628 0.7500  2 Cu 2.44, 2 Zn 2.57
Zn: 0.1372 0.8628 0.7500  2 Cu 2.44, 2 Zn 2.57
Zn: 0.5000 0.5000 0.5000  2 Cu 2.35
Zn: 0.5000 0.0000 0.0000  2 Cu 2.35
Zn: 0.8628 0.1372 0.2500  2 Cu 2.44, 2 Zn 2.57
Zn: 0.1372 0.2743 0.7500  2 Cu 2.44, 2 Zn 2.57
Zn: 0.2743 0.1372 0.2500  2 Cu 2.44, 2 Zn 2.57
Zn: 0.5000 0.5000 0.0000  2 Cu 2.35
Zn: 0.0000 0.5000 0.0000  2 Cu 2.35
Zn: 0.0000 0.5000 0.5000  2 Cu 2.35
Zn: 0.5000 0.0000 0.5000  2 Cu 2.35


No. 2
Tb4Pr5Dy | GGA-PBE | optimized geometry

Summary:
The calculation puts the excess energy over the best structure of this formula in the dataset at 0 meV/atom. As for the formation energy: 1.6 kJ per mole of atoms. The space-group type is No. 12.

a b c (Å): 3.6387 10.2915 9.6036
angles (deg): 105.73 100.90 89.95
With the nearest neighbours (Å) after each atom.
Sites, in units of the cell vectors:
Pr: 0.5000 0.5000 0.0000  8 Pr 3.63-3.67, 4 Tb 3.68
Pr: 0.3000 0.3997 0.5996  5 Tb 3.62-3.67, 7 Pr 3.63-3.68
Pr: 0.7000 0.6003 0.4004  5 Tb 3.62-3.67, 7 Pr 3.63-3.68
Pr: 0.0995 0.8053 0.1993  4 Tb 3.59-3.64, 2 Dy 3.60, 6 Pr 3.64-3.68
Pr: 0.9005 0.1947 0.8007  4 Tb 3.59-3.64, 2 Dy 3.60, 6 Pr 3.64-3.68
Tb: 0.9001 0.7049 0.7993  4 Tb 3.59-3.64, 2 Dy 3.60, 6 Pr 3.62-3.68
Tb: 0.0999 0.2951 0.2007  4 Tb 3.59-3.64, 2 Dy 3.60, 6 Pr 3.62-3.68
Tb: 0.3007 0.9001 0.6010  5 Pr 3.59-3.64, 6 Tb 3.59-3.65, 1 Dy 3.62
Tb: 0.6993 0.0999 0.3990  5 Pr 3.59-3.64, 6 Tb 3.59-3.65, 1 Dy 3.62
Dy: 0.5000 0.0000 0.0000  4 Pr 3.60, 6 Tb 3.60-3.62, 2 Dy 3.64


No. 3
LaZr2P | GGA-PBE | optimized geometry

Summary:
As for the formation energy: -50.2 kJ per mole of atoms. The space-group type is No. 65.

a b c (Å): 5.6926 5.6926 3.6212
angles (deg): 90.00 90.00 118.71
With the nearest neighbours (Å) after each atom.
Sites, in units of the cell vectors:
La: 0.5000 0.5000 0.5000  2 P 2.90
P: 0.0000 0.0000 0.5000  4 Zr 2.55
Zr: 0.1827 0.8173 0.0000  2 P 2.55
Zr: 0.8173 0.1827 0.0000  2 P 2.55


No. 4
PrZn2H6 | GGA-PBE | optimized geometry

Summary:
As for the total energy: -27.9 eV per formula unit. The space-group type is No. 12.

a b c (Å): 4.0519 4.8309 6.2673
angles (deg): 107.29 90.00 114.80
With the nearest neighbours (Å) after each atom.
Sites, in units of the cell vectors:
H: 0.5558 0.1116 0.7083  1 Zn 1.68
H: 0.2229 0.4458 0.8618  1 Zn 1.77
H: 0.4442 0.8884 0.2917  1 Zn 1.68
H: 0.7771 0.5542 0.1382  1 Zn 1.77
H: 0.0750 0.1501 0.1896  1 Zn 1.58
H: 0.9250 0.8499 0.8104  1 Zn 1.58
Pr: 0.0000 0.0000 0.5000  8 H 2.25-2.46
Zn: 0.7548 0.5096 0.8472  3 H 1.58-1.77
Zn: 0.2452 0.4904 0.1528  3 H 1.58-1.77


No. 5
Pm2DyHoS4 | GGA-PBE | optimized geometry

Summary:
The space-group type is No. 10. The calculation puts the formation energy without anion corrections at -2.01 eV per atom.

a b c (Å): 3.9142 6.8277 6.9686
angles (deg): 108.84 90.00 90.00
With the nearest neighbours (Å) after each atom.
Sites, in units of the cell vectors:
Pm: 0.0000 0.5000 0.5000  6 S 2.86
Pm: 0.5000 0.0000 0.5000  6 S 2.85
S: 0.5000 0.2442 0.2359  2 Ho 2.75, 1 Dy 2.76, 3 Pm 2.85-2.86
S: 0.0000 0.2537 0.7634  1 Ho 2.75, 2 Dy 2.75, 3 Pm 2.85-2.86
S: 0.0000 0.7463 0.2366  1 Ho 2.75, 2 Dy 2.75, 3 Pm 2.85-2.86
S: 0.5000 0.7558 0.7641  2 Ho 2.75, 1 Dy 2.76, 3 Pm 2.85-2.86
Ho: 0.0000 0.0000 0.0000  6 S 2.75
Dy: 0.5000 0.5000 0.0000  6 S 2.75-2.76


No. 6
HoMg3Zn8 | GGA-PBE | optimized geometry

Summary:
The calculation puts the excess energy over the best structure of this formula in the dataset at 6 meV/atom. As for the formation energy: -17.6 kJ per mole of atoms. The space-group type is No. 160.

a b c (Å): 5.2935 5.2935 9.1402
angles (deg): 73.17 73.17 60.00
With the nearest neighbours (Å) after each atom.
Sites, in units of the cell vectors:
Zn: 0.4382 0.4382 0.1825  6 Zn 2.62-2.67
Zn: 0.6879 0.6879 0.9362  6 Zn 2.61-2.62
Zn: 0.4358 0.9366 0.6911  6 Zn 2.61-2.67
Zn: 0.9366 0.4358 0.6911  6 Zn 2.61-2.67
Zn: 0.4382 0.9411 0.1825  6 Zn 2.62-2.67
Zn: 0.9411 0.4382 0.1825  6 Zn 2.62-2.67
Zn: 0.1875 0.1875 0.4374  6 Zn 2.67
Zn: 0.9366 0.9366 0.6911  6 Zn 2.61-2.67
Mg: 0.4970 0.4970 0.5089  12 Zn 3.08-3.20, 1 Mg 3.18, 3 Ho 3.27
Mg: 0.3740 0.3740 0.8780  12 Zn 3.03-3.10, 4 Mg 3.18-3.22
Mg: 0.0012 0.0012 0.9964  12 Zn 3.04-3.10, 3 Mg 3.22, 1 Ho 3.24
Ho: 0.8759 0.8759 0.3724  12 Zn 3.11-3.14, 4 Mg 3.24-3.27


No. 7
RbMnInS3 | GGA-PBE | optimized geometry

Summary:
The space-group type is No. 11. The calculation puts the formation energy without anion corrections at -0.75 eV per atom.

a b c (Å): 3.9270 8.9818 9.7874
angles (deg): 108.50 90.00 90.00
With the nearest neighbours (Å) after each atom.
Sites, in units of the cell vectors:
S: 0.2500 0.8081 0.4733  3 Mn 2.41-2.50
S: 0.7500 0.8647 0.1336  1 Mn 2.38, 2 In 2.66
S: 0.7500 0.1919 0.5267  3 Mn 2.41-2.50
S: 0.7500 0.4790 0.1581  3 In 2.59-2.66
S: 0.2500 0.5210 0.8419  3 In 2.59-2.66
S: 0.2500 0.1353 0.8664  1 Mn 2.38, 2 In 2.66
Rb: 0.2500 0.2156 0.2466  7 S 3.39-3.58
Rb: 0.7500 0.7844 0.7534  7 S 3.39-3.58
Mn: 0.7500 0.9056 0.3860  4 S 2.38-2.50
Mn: 0.2500 0.0944 0.6140  4 S 2.38-2.50
In: 0.2500 0.6603 0.1176  5 S 2.59-2.66
In: 0.7500 0.3397 0.8824  5 S 2.59-2.66


No. 8
BaNaI3 | GGA-PBE | optimized geometry

Summary:
The space-group type is No. 221. The calculation puts the formation energy without anion corrections at -1.29 eV per atom.

a b c (Å): 6.7531 6.7531 6.7531
angles (deg): 90.00 90.00 90.00
With the nearest neighbours (Å) after each atom.
Sites, in units of the cell vectors:
I: 0.5000 0.0000 0.0000  2 Ba 3.38
I: 0.0000 0.5000 0.0000  2 Ba 3.38
I: 0.0000 0.0000 0.5000  2 Ba 3.38
Na: 0.5000 0.5000 0.5000  12 I 4.78
Ba: 0.0000 0.0000 0.0000  6 I 3.38


Number 1: total magnetization 0.00 μB per formula unit. Number 2: total magnetization 0.00 μB per formula unit. Number 3: total magnetization 0.00 μB per formula unit. Number 4: total magnetization 0.00 μB per formula unit. Number 5: total magnetization 0.00 μB per formula unit. Number 6: total magnetization 0.00 μB per formula unit. Number 7: total magnetization 5.01 μB per formula unit. Number 8: total magnetization 0.00 μB per formula unit.